CeB3C3 | PBE | optimized geometry Values from VASP.

Properties
D(E_F) = 3.366 states/eV/f.u.
energy of formation from the pure elements = 629 meV/atom
ρ = 5.3 g/cm³
raw total energy = -7.03 eV/atom
space-group type = P6_3/m

Structure (Quantum ESPRESSO input):
```
&SYSTEM
  ibrav = 0, nat = 14, ntyp = 3
/
ATOMIC_SPECIES
Ce 140.12 Ce.upf
C 12.01 C.upf
B 10.81 B.upf
CELL_PARAMETERS angstrom
-1.388 2.183 0.207
-3.087 -1.314 -6.846
-3.353 -2.728 6.280
ATOMIC_POSITIONS crystal
Ce 0.750 0.333 0.667
Ce 0.250 0.667 0.333
C 0.250 0.020 0.458
C 0.750 0.980 0.542
C 0.250 0.542 0.562
C 0.750 0.458 0.438
C 0.750 0.562 0.020
C 0.250 0.438 0.980
B 0.250 0.010 0.235
B 0.750 0.776 0.010
B 0.750 0.990 0.765
B 0.250 0.765 0.776
B 0.250 0.224 0.990
B 0.750 0.235 0.224
```

=====

TlInFeGe2 | PBE | optimized geometry Values from VASP.

Properties
D(E_F) = 2.702 states/eV/f.u.
energy of formation from the pure elements = 139 meV/atom
ρ = 7.8 g/cm³
raw total energy = -4.42 eV/atom
space-group type = P4/mmm

Structure (Quantum ESPRESSO input):
```
&SYSTEM
  ibrav = 0, nat = 5, ntyp = 4
/
ATOMIC_SPECIES
In 114.82 In.upf
Ge 72.64 Ge.upf
Tl 204.38 Tl.upf
Fe 55.84 Fe.upf
CELL_PARAMETERS angstrom
4.620 0.000 0.000
0.000 4.620 0.000
0.000 0.000 5.191
ATOMIC_POSITIONS crystal
In 0.000 0.000 0.500
Ge 0.500 0.000 0.000
Ge 0.000 0.500 0.000
Tl 0.500 0.500 0.500
Fe 0.000 0.000 0.000
```

=====

PuGeAu | PBE | optimized geometry Values from VASP.

Properties
D(E_F) = 10.318 states/eV/f.u.
energy of formation from the pure elements = -477 meV/atom
ρ = 13.3 g/cm³
raw total energy = -7.89 eV/atom
space-group type = Imm2

Structure (Quantum ESPRESSO input):
```
&SYSTEM
  ibrav = 0, nat = 6, ntyp = 3
/
ATOMIC_SPECIES
Pu 244.00 Pu.upf
Ge 72.64 Ge.upf
Au 196.97 Au.upf
CELL_PARAMETERS angstrom
-3.522 0.100 -2.962
-5.174 -0.391 2.562
-1.515 5.352 -1.594
ATOMIC_POSITIONS crystal
Pu 0.000 0.611 0.389
Pu 0.500 0.179 0.821
Ge 0.201 0.781 0.817
Ge 0.799 0.183 0.219
Au 0.285 0.027 0.403
Au 0.715 0.597 0.973
```

=====

TaGaMoPt | PBE | optimized geometry Values from VASP.

Properties
D(E_F) = 0.227 states/eV/f.u.
energy of formation from the pure elements = -278 meV/atom
ρ = 14.0 g/cm³
raw total energy = -8.22 eV/atom
space-group type = F-43m

Structure (Quantum ESPRESSO input):
```
&SYSTEM
  ibrav = 0, nat = 4, ntyp = 4
/
ATOMIC_SPECIES
Ga 69.72 Ga.upf
Ta 180.95 Ta.upf
Pt 195.08 Pt.upf
Mo 95.94 Mo.upf
CELL_PARAMETERS angstrom
4.493 0.000 0.000
2.246 3.891 0.000
2.246 1.297 3.668
ATOMIC_POSITIONS crystal
Ga 0.500 0.500 0.500
Ta 0.000 0.000 0.000
Pt 0.750 0.750 0.750
Mo 0.250 0.250 0.250
```